# 1
# Li2Ga2Pd3

A geometry-optimized Li2Ga2Pd3 structure (PBE, Alexandria).

Lattice parameters (Å, degrees): 4.3314 4.3802 7.1573 90.40 108.77 119.89
Last column: nearest neighbours and their distance in Å.
Sites, in units of the cell vectors:
Ga1 0.1912 0.5974 0.7957  4 Pd 2.51-2.67, 1 Li 2.81
Ga2 0.8088 0.4026 0.2043  4 Pd 2.51-2.67, 1 Li 2.81
Pd1 0.4735 0.7361 0.1980  4 Ga 2.51-2.67, 2 Li 2.67-2.80
Pd2 0.0000 0.0000 0.0000  2 Li 2.65, 6 Pd 2.83-2.84, 6 Ga 2.83-2.89
Pd3 0.5265 0.2639 0.8020  4 Ga 2.51-2.67, 2 Li 2.67-2.80
Li1 0.7262 0.8636 0.6001  5 Pd 2.65-2.89, 3 Li 2.81-2.91, 3 Ga 2.81-2.85
Li2 0.2738 0.1364 0.3999  5 Pd 2.65-2.89, 3 Li 2.81-2.91, 3 Ga 2.81-2.85

Calculated values
The calculation puts the total energy at -29.4 eV for the cell shown. The total moment comes out at 0.00 μB/cell. The offset from the most stable computed form is 0 meV per atom.

# 2
# LiPmGa2Pd2

A geometry-optimized LiPmGa2Pd2 structure (PBE, Alexandria).

Lattice parameters (Å, degrees): 4.4098 4.4098 6.5949 90.00 90.00 120.00
Last column: nearest neighbours and their distance in Å.
Sites, in units of the cell vectors:
Pd1 0.6667 0.3333 0.2964  4 Ga 2.55-2.61
Pd2 0.3333 0.6667 0.7036  4 Ga 2.55-2.61
Ga1 0.3333 0.6667 0.3073  4 Pd 2.55-2.61, 3 Li 2.85
Ga2 0.6667 0.3333 0.6927  4 Pd 2.55-2.61, 3 Li 2.85
Pm1 0.0000 0.0000 0.0000  6 Pd 3.21, 6 Ga 3.25, 2 Li 3.30
Li1 0.0000 0.0000 0.5000  6 Ga 2.85, 6 Pd 2.88

Calculated values
The calculation puts the total energy at -27.4 eV for the cell shown. The total moment comes out at 0.00 μB/cell.

# 3
# LiPmGaPd

A geometry-optimized LiPmGaPd structure (PBE, Alexandria).

Lattice parameters (Å, degrees): 4.5223 4.5198 5.2147 115.82 90.00 120.02
Last column: nearest neighbours and their distance in Å.
Sites, in units of the cell vectors:
Li1 0.8348 0.6696 0.1464  3 Ga 2.76, 4 Pm 2.87-3.08, 3 Pd 2.89-2.90
Pd1 0.4083 0.8166 0.8661  3 Ga 2.63-2.64, 3 Li 2.89-2.90, 1 Pm 2.90
Ga1 0.1011 0.2022 0.9463  3 Pd 2.63-2.64, 3 Li 2.76
Pm1 0.6221 0.2442 0.5086  4 Li 2.87-3.08, 4 Pd 2.90-3.07

Calculated values
The calculation puts the total energy at -17.2 eV for the cell shown. The total moment comes out at 0.00 μB/cell.

# 4
# Li2PmGaPd4

A geometry-optimized Li2PmGaPd4 structure (PBE, Alexandria).

Lattice parameters (Å, degrees): 4.4168 4.4168 8.2792 74.53 74.53 60.00
Last column: nearest neighbours and their distance in Å.
Sites, in units of the cell vectors:
Pd1 0.3943 0.3943 0.8170  1 Ga 2.50, 3 Li 2.66
Pd2 0.6057 0.6057 0.1830  1 Ga 2.50, 3 Li 2.66
Pd3 0.8702 0.8702 0.3893  4 Li 2.61-2.69, 3 Ga 2.70
Pd4 0.1298 0.1298 0.6107  4 Li 2.61-2.69, 3 Ga 2.70
Li1 0.7597 0.7597 0.7209  7 Pd 2.61-2.69
Li2 0.2403 0.2403 0.2791  7 Pd 2.61-2.69
Ga1 0.5000 0.5000 0.5000  8 Pd 2.50-2.70
Pm1 0.0000 0.0000 0.0000  8 Pd 2.93-3.07

Calculated values
The calculation puts the total energy at -37.4 eV for the cell shown. The total moment comes out at 0.00 μB/cell.

# 5
# Li2PmGa4Pd

A geometry-optimized Li2PmGa4Pd structure (PBE, Alexandria).

Lattice parameters (Å, degrees): 4.3138 4.3138 9.1976 76.44 76.44 60.00
Last column: nearest neighbours and their distance in Å.
Sites, in units of the cell vectors:
Pm1 0.0000 0.0000 0.0000  8 Ga 3.08-3.32
Pd1 0.5000 0.5000 0.5000  8 Ga 2.61-2.73
Ga1 0.4017 0.4017 0.7949  1 Pd 2.61, 3 Li 2.65, 3 Ga 2.91
Ga2 0.5983 0.5983 0.2051  1 Pd 2.61, 3 Li 2.65, 3 Ga 2.91
Ga3 0.1250 0.1250 0.6249  4 Li 2.56-2.81, 3 Pd 2.73
Ga4 0.8750 0.8750 0.3751  4 Li 2.56-2.81, 3 Pd 2.73
Li1 0.2307 0.2307 0.3079  7 Ga 2.56-2.81
Li2 0.7693 0.7693 0.6921  7 Ga 2.56-2.81

Calculated values
The calculation puts the total energy at -29.8 eV for the cell shown. The total moment comes out at 0.00 μB/cell.

# 6
# LiPm2Ga5Pd2

A geometry-optimized LiPm2Ga5Pd2 structure (PBE, Alexandria).

Lattice parameters (Å, degrees): 4.0194 9.8490 9.8490 90.00 90.00 90.00
Last column: nearest neighbours and their distance in Å.
Sites, in units of the cell vectors:
Pd1 0.0000 0.1131 0.6131  6 Ga 2.55-2.78, 1 Pm 2.81
Pd2 0.0000 0.6131 0.8869  6 Ga 2.55-2.78, 1 Pm 2.81
Pd3 0.0000 0.8869 0.3869  6 Ga 2.55-2.78, 1 Pm 2.81
Pd4 0.0000 0.3869 0.1131  6 Ga 2.55-2.78, 1 Pm 2.81
Pm1 0.0000 0.6851 0.1851  3 Pd 2.81-3.02
Pm2 0.0000 0.3149 0.8149  3 Pd 2.81-3.02
Pm3 0.0000 0.8149 0.6851  3 Pd 2.81-3.02
Pm4 0.0000 0.1851 0.3149  3 Pd 2.81-3.02
Ga1 0.5000 0.4486 0.2974  2 Pd 2.78, 2 Li 2.88, 3 Ga 2.91-2.97
Ga2 0.5000 0.0514 0.7974  2 Pd 2.78, 2 Li 2.88, 3 Ga 2.91-2.97
Ga3 0.5000 0.9486 0.2026  2 Pd 2.78, 2 Li 2.88, 3 Ga 2.91-2.97
Ga4 0.5000 0.7974 0.9486  2 Pd 2.78, 2 Li 2.88, 3 Ga 2.91-2.97
Ga5 0.5000 0.0000 0.5000  4 Pd 2.55
Ga6 0.5000 0.2026 0.0514  2 Pd 2.78, 2 Li 2.88, 3 Ga 2.91-2.97
Ga7 0.5000 0.7026 0.4486  2 Pd 2.78, 2 Li 2.88, 3 Ga 2.91-2.97
Ga8 0.5000 0.5514 0.7026  2 Pd 2.78, 2 Li 2.88, 3 Ga 2.91-2.97
Ga9 0.5000 0.2974 0.5514  2 Pd 2.78, 2 Li 2.88, 3 Ga 2.91-2.97
Ga10 0.5000 0.5000 0.0000  4 Pd 2.55
Li1 0.0000 0.0000 0.0000  8 Ga 2.88
Li2 0.0000 0.5000 0.5000  8 Ga 2.88

Calculated values
The calculation puts the total energy at -86.1 eV for the cell shown. The total moment comes out at 0.00 μB/cell.

# 7
# Li2Pm2GaPd5

A geometry-optimized Li2Pm2GaPd5 structure (PBE, Alexandria).

Lattice parameters (Å, degrees): 3.6920 9.6434 9.6434 90.00 90.00 90.00
Last column: nearest neighbours and their distance in Å.
Sites, in units of the cell vectors:
Pd1 0.5000 0.7039 0.4363  2 Li 2.56, 2 Ga 2.77
Pd2 0.5000 0.2961 0.5637  2 Li 2.56, 2 Ga 2.77
Pd3 0.5000 0.2039 0.0637  2 Li 2.56, 2 Ga 2.77
Pd4 0.5000 0.9363 0.2039  2 Li 2.56, 2 Ga 2.77
Pd5 0.5000 0.5000 0.0000  4 Li 2.47
Pd6 0.5000 0.5637 0.7039  2 Li 2.56, 2 Ga 2.77
Pd7 0.5000 0.7961 0.9363  2 Li 2.56, 2 Ga 2.77
Pd8 0.5000 0.0000 0.5000  4 Li 2.47
Pd9 0.5000 0.0637 0.7961  2 Li 2.56, 2 Ga 2.77
Pd10 0.5000 0.4363 0.2961  2 Li 2.56, 2 Ga 2.77
Li1 0.0000 0.8796 0.3796  6 Pd 2.47-2.56, 1 Pm 2.74
Li2 0.0000 0.6204 0.8796  6 Pd 2.47-2.56, 1 Pm 2.74
Li3 0.0000 0.3796 0.1204  6 Pd 2.47-2.56, 1 Pm 2.74
Li4 0.0000 0.1204 0.6204  6 Pd 2.47-2.56, 1 Pm 2.74
Ga1 0.0000 0.5000 0.5000  8 Pd 2.77
Ga2 0.0000 0.0000 0.0000  8 Pd 2.77
Pm1 0.0000 0.6790 0.1790  3 Li 2.74-2.94, 2 Pd 3.06
Pm2 0.0000 0.3210 0.8210  3 Li 2.74-2.94, 2 Pd 3.06
Pm3 0.0000 0.8210 0.6790  3 Li 2.74-2.94, 2 Pd 3.06
Pm4 0.0000 0.1790 0.3210  3 Li 2.74-2.94, 2 Pd 3.06

Calculated values
The calculation puts the total energy at -97.6 eV for the cell shown. The total moment comes out at 0.00 μB/cell.

# 8
# LiPm2Ga4Pd3

A geometry-optimized LiPm2Ga4Pd3 structure (PBE, Alexandria).

Lattice parameters (Å, degrees): 4.1897 4.1897 11.0179 90.00 90.00 90.00
Last column: nearest neighbours and their distance in Å.
Sites, in units of the cell vectors:
Pd1 0.5000 0.0000 0.8644  5 Ga 2.53-2.57
Pd2 0.0000 0.5000 0.1356  5 Ga 2.53-2.57
Pd3 0.0000 0.0000 0.5000  4 Ga 2.57
Ga1 0.5000 0.0000 0.6345  3 Pd 2.53-2.57, 2 Li 2.57
Ga2 0.5000 0.5000 0.0000  4 Pd 2.57
Ga3 0.0000 0.0000 0.0000  4 Pd 2.57
Ga4 0.0000 0.5000 0.3655  3 Pd 2.53-2.57, 2 Li 2.57
Li1 0.5000 0.5000 0.5000  4 Ga 2.57
Pm1 0.0000 0.5000 0.7587  6 Pd 3.18-3.54, 8 Ga 3.26-3.38, 2 Li 3.54
Pm2 0.5000 0.0000 0.2413  6 Pd 3.18-3.54, 8 Ga 3.26-3.38, 2 Li 3.54

Calculated values
The calculation puts the total energy at -46.2 eV for the cell shown. The total moment comes out at 0.00 μB/cell.